DFT (PBE) results for Sc2Ga9Rh3 after structural relaxation.

Computed properties:
DFT total energy, eV/f.u.: -71.1
Space-group type: C2/c (15)
Fermi-level density of states, states/eV/cell: 12.25

Cell lengths 7.4624, 7.4624, 10.3479 Å; angles 111.10, 111.10, 59.96 degrees
Closest atoms and distances in Å follow each position.
Fractional positions:
Sc 0.0853 0.2513 0.2508  11 Ga 2.92-3.14
Sc 0.2513 0.0853 0.7508  11 Ga 2.92-3.14
Sc 0.7487 0.9147 0.2492  11 Ga 2.92-3.14
Sc 0.9147 0.7487 0.7492  11 Ga 2.92-3.14
Ga 0.0232 0.8646 0.0824  3 Rh 2.53-2.62, 2 Ga 2.72-2.73
Ga 0.1354 0.9768 0.4176  3 Rh 2.53-2.62, 2 Ga 2.72-2.73
Ga 0.1903 0.3613 0.5825  3 Rh 2.53-2.62, 2 Ga 2.71
Ga 0.2054 0.5816 0.2515  2 Rh 2.52-2.53, 6 Ga 2.71-2.77
Ga 0.3049 0.4768 0.9275  3 Rh 2.55-2.65, 2 Ga 2.75-2.76
Ga 0.3613 0.1903 0.0825  3 Rh 2.53-2.62, 2 Ga 2.71
Ga 0.3671 0.6329 0.7500  2 Rh 2.53, 6 Ga 2.71-2.77
Ga 0.4184 0.7946 0.2485  2 Rh 2.52-2.53, 6 Ga 2.71-2.77
Ga 0.4768 0.3049 0.4275  3 Rh 2.55-2.65, 2 Ga 2.75-2.76
Ga 0.5232 0.6951 0.5725  3 Rh 2.55-2.65, 2 Ga 2.75-2.76
Ga 0.5816 0.2054 0.7515  2 Rh 2.52-2.53, 6 Ga 2.71-2.77
Ga 0.6329 0.3671 0.2500  2 Rh 2.53, 6 Ga 2.71-2.77
Ga 0.6387 0.8097 0.9175  3 Rh 2.53-2.62, 2 Ga 2.71
Ga 0.6951 0.5232 0.0725  3 Rh 2.55-2.65, 2 Ga 2.75-2.76
Ga 0.7946 0.4184 0.7485  2 Rh 2.52-2.53, 6 Ga 2.71-2.77
Ga 0.8097 0.6387 0.4175  3 Rh 2.53-2.62, 2 Ga 2.71
Ga 0.8646 0.0232 0.5824  3 Rh 2.53-2.62, 2 Ga 2.72-2.73
Ga 0.9768 0.1354 0.9176  3 Rh 2.53-2.62, 2 Ga 2.72-2.73
Rh 0.0000 0.5000 0.0000  8 Ga 2.53-2.62
Rh 0.1576 0.6713 0.4997  8 Ga 2.52-2.65
Rh 0.3287 0.8424 0.0003  8 Ga 2.52-2.65
Rh 0.5000 0.0000 0.5000  8 Ga 2.53-2.62
Rh 0.6713 0.1576 0.9997  8 Ga 2.52-2.65
Rh 0.8424 0.3287 0.5003  8 Ga 2.52-2.65

=====

DFT (PBE) results for KScCuBr5 after structural relaxation.

Computed properties:
DFT total energy, eV/f.u.: -30.6
Space-group type: C2/c (15)

Cell lengths 7.5466, 7.5466, 10.1480 Å; angles 103.48, 103.48, 106.59 degrees
Closest atoms and distances in Å follow each position.
Fractional positions:
K 0.1506 0.8494 0.7500  5 Br 3.31-3.33
K 0.8494 0.1506 0.2500  5 Br 3.31-3.33
Sc 0.5000 0.5000 0.0000  6 Br 2.67-2.69
Sc 0.5000 0.5000 0.5000  6 Br 2.67-2.69
Cu 0.1908 0.8092 0.2500  4 Br 2.44-2.49
Cu 0.8092 0.1908 0.7500  4 Br 2.44-2.49
Br 0.1289 0.2650 0.9322  1 Cu 2.49, 1 Sc 2.68
Br 0.1922 0.5923 0.3951  1 Cu 2.44, 1 Sc 2.67
Br 0.2650 0.1289 0.4322  1 Cu 2.49, 1 Sc 2.68
Br 0.4077 0.8078 0.1049  1 Cu 2.44, 1 Sc 2.67
Br 0.4257 0.5743 0.7500  2 Sc 2.69
Br 0.5743 0.4257 0.2500  2 Sc 2.69
Br 0.5923 0.1922 0.8951  1 Cu 2.44, 1 Sc 2.67
Br 0.7350 0.8711 0.5678  1 Cu 2.49, 1 Sc 2.68
Br 0.8078 0.4077 0.6049  1 Cu 2.44, 1 Sc 2.67
Br 0.8711 0.7350 0.0678  1 Cu 2.49, 1 Sc 2.68

=====

DFT (PBE) results for TbTmIn2 after structural relaxation.

Computed properties:
DFT total energy, eV/f.u.: -16.4
Space-group type: Cmmm (65)
Fermi-level density of states, states/eV/cell: 2.47

Cell lengths 5.5435, 5.5435, 3.4912 Å; angles 90.00, 90.00, 103.14 degrees
Closest atoms and distances in Å follow each position.
Fractional positions:
Tb 0.0000 0.0000 0.0000  8 In 3.28, 2 Tm 3.45, 2 Tb 3.49
Tm 0.5000 0.5000 0.0000  8 In 3.28, 2 Tb 3.45, 2 Tm 3.49
In 0.0000 0.5000 0.5000  4 Tb 3.28, 4 Tm 3.28, 4 In 3.45-3.49
In 0.5000 0.0000 0.5000  4 Tb 3.28, 4 Tm 3.28, 4 In 3.45-3.49

=====

DFT (PBE) results for Ca2HgP2 after structural relaxation.

Computed properties:
E above lowest polymorph, meV/atom: 156.0
Space-group type: P4/mbm (127)
Fermi-level density of states, states/eV/cell: 4.08

Cell lengths 7.5848, 7.5848, 3.9871 Å; angles 90.00, 90.00, 90.00 degrees
Closest atoms and distances in Å follow each position.
Fractional positions:
Ca 0.1471 0.3529 0.0000  6 P 2.84-3.09, 1 Ca 3.15
Ca 0.3529 0.8529 0.0000  6 P 2.84-3.09, 1 Ca 3.15
Ca 0.6471 0.1471 0.0000  6 P 2.84-3.09, 1 Ca 3.15
Ca 0.8529 0.6471 0.0000  6 P 2.84-3.09, 1 Ca 3.15
Hg 0.0000 0.0000 0.5000  4 P 2.83
Hg 0.5000 0.5000 0.5000  4 P 2.83
P 0.1644 0.6644 0.5000  2 Hg 2.83, 6 Ca 2.84-3.09
P 0.3356 0.1644 0.5000  2 Hg 2.83, 6 Ca 2.84-3.09
P 0.6644 0.8356 0.5000  2 Hg 2.83, 6 Ca 2.84-3.09
P 0.8356 0.3356 0.5000  2 Hg 2.83, 6 Ca 2.84-3.09

=====

| no. | spin magnetization (μB per formula unit) |
| --- | --- |
| 1 | 0.00 |
| 2 | 0.12 |
| 3 | 0.00 |
| 4 | 0.00 |